1.
Material: MgGe3Se
Method: DFT, PBE
State: optimized geometry

Values from the calculation:
The energy relative to the elements, uncorrected comes out at 694 meV per atom. The crystal system is cubic. The energy relative to the lowest polymorph listed for this composition comes out at 0.103 eV per atom.

Cell: 5.0248 5.0248 5.0248 Å, 90.00 90.00 90.00°
Closest atoms and distances in Å follow each position.
Positions (direct):
Mg  0.0000  0.0000  0.0000  6 Ge 2.51
Ge  0.0000  0.0000  0.5000  2 Mg 2.51
Ge  0.0000  0.5000  0.0000  2 Mg 2.51
Ge  0.5000  0.0000  0.0000  2 Mg 2.51
Se  0.5000  0.5000  0.5000  12 Ge 3.55

2.
Material: MgGeSe3
Method: DFT, PBE
State: optimized geometry

Values from the calculation:
The energy relative to the elements, uncorrected comes out at -602 meV per atom. The crystal system is monoclinic. The energy relative to the lowest polymorph listed for this composition comes out at 0.000 eV per atom.

Cell: 6.4804 3.8370 11.8024 Å, 90.00 97.60 90.00°
Closest atoms and distances in Å follow each position.
Positions (direct):
Mg  0.1131  0.2500  0.1659  6 Se 2.66-2.92
Mg  0.8869  0.7500  0.8341  6 Se 2.66-2.92
Ge  0.3055  0.2500  0.7473  4 Se 2.33-2.48
Ge  0.6945  0.7500  0.2527  4 Se 2.33-2.48
Se  0.1259  0.7500  0.6440  2 Ge 2.48
Se  0.1613  0.2500  0.9233  1 Ge 2.39
Se  0.3430  0.7500  0.2754  1 Ge 2.33
Se  0.6570  0.2500  0.7246  1 Ge 2.33
Se  0.8387  0.7500  0.0767  1 Ge 2.39
Se  0.8741  0.2500  0.3560  2 Ge 2.48

3.
Material: MgGeSe2
Method: DFT, PBE
State: optimized geometry

Values from the calculation:
The energy relative to the elements, uncorrected comes out at -174 meV per atom. The crystal system is trigonal.

Cell: 9.2458 9.2458 9.2458 Å, 21.66 21.66 21.66°
Closest atoms and distances in Å follow each position.
Positions (direct):
Mg  0.0000  0.0000  0.0000  6 Se 2.67
Ge  0.5000  0.5000  0.5000  2 Se 2.75
Se  0.3983  0.3983  0.3983  3 Mg 2.67, 1 Ge 2.75
Se  0.6017  0.6017  0.6017  3 Mg 2.67, 1 Ge 2.75

4.
Material: MgGeSe2
Method: DFT, PBE
State: optimized geometry

Values from the calculation:
The energy relative to the elements, uncorrected comes out at -602 meV per atom. The crystal system is trigonal.

Cell: 7.1916 7.1916 7.1916 Å, 31.53 31.53 31.53°
Closest atoms and distances in Å follow each position.
Positions (direct):
Mg  0.0000  0.0000  0.0000  6 Se 2.77-2.87
Ge  0.1690  0.1690  0.1690  6 Se 2.82-2.86
Se  0.5879  0.5879  0.5879  3 Mg 2.77, 3 Ge 2.86
Se  0.7534  0.7534  0.7534  3 Ge 2.82, 3 Mg 2.87

5.
Material: Mg4GeSe6
Method: DFT, PBE
State: optimized geometry

Values from the calculation:
The energy relative to the elements, uncorrected comes out at -958 meV per atom. The crystal system is monoclinic.

Cell: 7.4234 7.4234 12.9250 Å, 107.32 107.32 59.12°
Closest atoms and distances in Å follow each position.
Positions (direct):
Mg  0.0604  0.2832  0.8062  4 Se 2.62-2.64
Mg  0.0911  0.9089  0.5000  4 Se 2.62-2.65
Mg  0.1912  0.5360  0.1470  4 Se 2.64-2.78
Mg  0.2832  0.0604  0.3062  4 Se 2.62-2.64
Mg  0.5360  0.1912  0.6470  4 Se 2.64-2.78
Mg  0.5392  0.7696  0.9978  4 Se 2.62-2.70
Mg  0.7696  0.5392  0.4978  4 Se 2.62-2.70
Mg  0.9089  0.0911  0.0000  4 Se 2.62-2.65
Ge  0.1467  0.7098  0.7489  4 Se 2.34-2.38
Ge  0.7098  0.1467  0.2489  4 Se 2.34-2.38
Se  0.1343  0.5723  0.5569  1 Ge 2.38, 1 Mg 2.65
Se  0.2657  0.8257  0.1104  4 Mg 2.62-2.67
Se  0.3545  0.3955  0.8263  1 Ge 2.37, 1 Mg 2.63
Se  0.3600  0.8834  0.8031  1 Ge 2.36, 2 Mg 2.63-2.64
Se  0.3955  0.3545  0.3263  1 Ge 2.37, 1 Mg 2.63
Se  0.4365  0.9152  0.4921  4 Mg 2.62-2.64
Se  0.5723  0.1343  0.0569  1 Ge 2.38, 1 Mg 2.65
Se  0.8067  0.9151  0.7956  1 Ge 2.34
Se  0.8257  0.2657  0.6104  4 Mg 2.62-2.67
Se  0.8834  0.3600  0.3031  1 Ge 2.36, 2 Mg 2.63-2.64
Se  0.9152  0.4365  0.9921  4 Mg 2.62-2.64
Se  0.9151  0.8067  0.2956  1 Ge 2.34

6.
Material: MgSnGeSe2
Method: DFT, PBE
State: optimized geometry

Values from the calculation:
The energy relative to the elements, uncorrected comes out at 159 meV per atom. The crystal system is tetragonal.

Cell: 5.2551 5.2551 4.8838 Å, 90.00 90.00 90.00°
Closest atoms and distances in Å follow each position.
Positions (direct):
Mg  0.0000  0.0000  0.0000  2 Ge 2.44
Sn  0.5000  0.5000  0.0000  8 Se 3.59, 4 Mg 3.72
Ge  0.0000  0.0000  0.5000  2 Mg 2.44, 4 Se 2.63
Se  0.0000  0.5000  0.5000  2 Ge 2.63
Se  0.5000  0.0000  0.5000  2 Ge 2.63

7.
Material: MgGeTeSe
Method: DFT, PBE
State: optimized geometry

Values from the calculation:
The energy relative to the elements, uncorrected comes out at -570 meV per atom. The crystal system is trigonal.

Cell: 16.5180 16.5180 16.5180 Å, 14.65 14.65 14.65°
Closest atoms and distances in Å follow each position.
Positions (direct):
Mg  0.1881  0.1881  0.1881  4 Se 2.51-2.74
Mg  0.8119  0.8119  0.8119  4 Se 2.51-2.74
Ge  0.3614  0.3614  0.3614  3 Te 2.84
Ge  0.6386  0.6386  0.6386  3 Te 2.84
Te  0.2752  0.2752  0.2752  3 Ge 2.84
Te  0.7248  0.7248  0.7248  3 Ge 2.84
Se  0.1322  0.1322  0.1322  4 Mg 2.51-2.74
Se  0.8678  0.8678  0.8678  4 Mg 2.51-2.74

8.
Material: MgTi2GeSe
Method: DFT, PBE
State: optimized geometry

Values from the calculation:
The energy relative to the elements, uncorrected comes out at 264 meV per atom. The crystal system is tetragonal.

Cell: 4.6999 4.6999 5.2435 Å, 90.00 90.00 90.00°
Closest atoms and distances in Å follow each position.
Positions (direct):
Mg  0.0000  0.0000  0.0000  4 Ge 3.32, 8 Ti 3.52
Ti  0.0000  0.5000  0.5000  2 Se 2.35
Ti  0.5000  0.0000  0.5000  2 Se 2.35
Ge  0.5000  0.5000  0.0000  2 Se 2.62
Se  0.5000  0.5000  0.5000  4 Ti 2.35, 2 Ge 2.62

9.
Material: MgTiGeSe2
Method: DFT, PBE
State: optimized geometry

Values from the calculation:
The energy relative to the elements, uncorrected comes out at 653 meV per atom. The crystal system is tetragonal.

Cell: 4.8459 4.8459 5.2800 Å, 90.00 90.00 90.00°
Closest atoms and distances in Å follow each position.
Positions (direct):
Mg  0.0000  0.0000  0.0000  4 Se 2.42, 2 Ti 2.64
Ti  0.0000  0.0000  0.5000  2 Mg 2.64
Ge  0.5000  0.5000  0.5000  4 Ti 3.43, 8 Se 3.58
Se  0.0000  0.5000  0.0000  2 Mg 2.42
Se  0.5000  0.0000  0.0000  2 Mg 2.42

10.
Material: MgTl2GeSe4
Method: DFT, PBE
State: optimized geometry

Values from the calculation:
The energy relative to the elements, uncorrected comes out at -547 meV per atom. The crystal system is orthorhombic.

Cell: 14.4282 13.1513 7.4269 Å, 84.14 65.06 30.80°
Closest atoms and distances in Å follow each position.
Positions (direct):
Mg  0.1250  0.1250  0.1250  4 Se 2.60
Mg  0.8750  0.8750  0.8750  4 Se 2.60
Tl  0.0743  0.0743  0.6757  4 Se 3.25-3.57
Tl  0.3243  0.3243  0.9257  4 Se 3.25-3.57
Tl  0.6757  0.6757  0.0743  4 Se 3.25-3.57
Tl  0.9257  0.9257  0.3243  4 Se 3.25-3.57
Ge  0.3750  0.3750  0.3750  4 Se 2.39
Ge  0.6250  0.6250  0.6250  4 Se 2.39
Se  0.0065  0.3455  0.4551  1 Ge 2.39, 1 Mg 2.60
Se  0.3072  0.5449  0.6545  1 Ge 2.39, 1 Mg 2.60
Se  0.3455  0.0065  0.6928  1 Ge 2.39, 1 Mg 2.60
Se  0.4551  0.6928  0.0065  1 Ge 2.39, 1 Mg 2.60
Se  0.5449  0.3072  0.9935  1 Ge 2.39, 1 Mg 2.60
Se  0.6545  0.9935  0.3072  1 Ge 2.39, 1 Mg 2.60
Se  0.6928  0.4551  0.3455  1 Ge 2.39, 1 Mg 2.60
Se  0.9935  0.6545  0.5449  1 Ge 2.39, 1 Mg 2.60

11.
Material: MgTlGe2Se
Method: DFT, PBE
State: optimized geometry

Values from the calculation:
The energy relative to the elements, uncorrected comes out at 511 meV per atom. The crystal system is tetragonal.

Cell: 5.1506 5.1506 5.9243 Å, 90.00 90.00 90.00°
Closest atoms and distances in Å follow each position.
Positions (direct):
Mg  0.0000  0.0000  0.0000  4 Tl 3.64, 8 Ge 3.93
Tl  0.5000  0.5000  0.0000  2 Se 2.96
Ge  0.0000  0.5000  0.5000  2 Se 2.58
Ge  0.5000  0.0000  0.5000  2 Se 2.58
Se  0.5000  0.5000  0.5000  4 Ge 2.58

12.
Material: MgZnGe2Se6
Method: DFT, PBE
State: optimized geometry

Values from the calculation:
The energy relative to the elements, uncorrected comes out at -459 meV per atom. The crystal system is monoclinic.

Cell: 9.0105 9.0105 6.9545 Å, 105.44 105.44 85.28°
Closest atoms and distances in Å follow each position.
Positions (direct):
Mg  0.1272  0.8728  0.7500  4 Se 2.66-2.73
Mg  0.8728  0.1272  0.2500  4 Se 2.66-2.73
Zn  0.2148  0.7852  0.2500  4 Se 2.46-2.59
Zn  0.7852  0.2148  0.7500  4 Se 2.46-2.59
Ge  0.2231  0.3836  0.7667  4 Se 2.40-2.41
Ge  0.3836  0.2231  0.2667  4 Se 2.40-2.41
Ge  0.6164  0.7769  0.7333  4 Se 2.40-2.41
Ge  0.7769  0.6164  0.2333  4 Se 2.40-2.41
Se  0.0412  0.1761  0.6383  1 Ge 2.41, 1 Zn 2.59, 1 Mg 2.66
Se  0.1069  0.6265  0.8991  1 Ge 2.41, 1 Zn 2.46
Se  0.1761  0.0412  0.1383  1 Ge 2.41, 1 Zn 2.59, 1 Mg 2.66
Se  0.3085  0.4479  0.4989  2 Ge 2.40-2.41
Se  0.3735  0.8931  0.6009  1 Ge 2.41, 1 Zn 2.46
Se  0.4479  0.3085  0.9989  2 Ge 2.40-2.41
Se  0.5521  0.6915  0.0011  2 Ge 2.40-2.41
Se  0.6265  0.1069  0.3991  1 Ge 2.41, 1 Zn 2.46
Se  0.6915  0.5521  0.5011  2 Ge 2.40-2.41
Se  0.8239  0.9588  0.8617  1 Ge 2.41, 1 Zn 2.59, 1 Mg 2.66
Se  0.8931  0.3735  0.1009  1 Ge 2.41, 1 Zn 2.46
Se  0.9588  0.8239  0.3617  1 Ge 2.41, 1 Zn 2.59, 1 Mg 2.66

13.
Material: Mg6SiGe2
Method: DFT, PBE
State: optimized geometry

Values from the calculation:
The energy relative to the elements, uncorrected comes out at -239 meV per atom. The crystal system is orthorhombic.

Cell: 7.8355 7.8355 7.8355 Å, 146.46 131.82 59.98°
Closest atoms and distances in Å follow each position.
Positions (direct):
Mg  0.0833  0.3342  0.7491  1 Si 2.76, 3 Ge 2.77-2.78
Mg  0.2482  0.0000  0.2482  2 Si 2.76, 2 Ge 2.78
Mg  0.4149  0.6658  0.7491  1 Si 2.76, 3 Ge 2.77-2.78
Mg  0.5851  0.3342  0.2509  1 Si 2.76, 3 Ge 2.77-2.78
Mg  0.7518  0.0000  0.7518  2 Si 2.76, 2 Ge 2.78
Mg  0.9167  0.6658  0.2509  1 Si 2.76, 3 Ge 2.77-2.78
Si  0.0000  0.5000  0.5000  8 Mg 2.76
Ge  0.3334  0.8334  0.5000  8 Mg 2.77-2.78
Ge  0.6666  0.1666  0.5000  8 Mg 2.77-2.78

14.
Material: MgSiGe
Method: DFT, PBE
State: optimized geometry

Values from the calculation:
The energy relative to the elements, uncorrected comes out at 91 meV per atom. The crystal system is monoclinic. The energy relative to the lowest polymorph listed for this composition comes out at 0.091 eV per atom.

Cell: 4.9693 4.9693 5.4051 Å, 111.19 111.19 76.34°
Closest atoms and distances in Å follow each position.
Positions (direct):
Mg  0.0000  0.0000  0.0000  2 Ge 2.83, 4 Si 2.86-2.90, 2 Mg 3.15
Mg  0.5859  0.5859  0.9847  4 Si 2.80-3.09, 4 Ge 2.95-3.12
Si  0.1756  0.5691  0.2923  1 Si 2.42, 2 Ge 2.50-2.60
Si  0.5691  0.1756  0.2923  1 Si 2.42, 2 Ge 2.50-2.60
Ge  0.0014  0.4290  0.6234  2 Si 2.50-2.60, 1 Ge 2.63
Ge  0.4290  0.0014  0.6234  2 Si 2.50-2.60, 1 Ge 2.63

15.
Material: Mg4SiGe
Method: DFT, PBE
State: optimized geometry

Values from the calculation:
The energy relative to the elements, uncorrected comes out at -215 meV per atom. The crystal system is trigonal. The energy relative to the lowest polymorph listed for this composition comes out at 0.001 eV per atom.

Cell: 7.8176 7.8176 7.8176 Å, 33.58 33.58 33.58°
Closest atoms and distances in Å follow each position.
Positions (direct):
Mg  0.1246  0.1246  0.1246  1 Si 2.75, 3 Ge 2.77
Mg  0.3745  0.3745  0.3745  3 Si 2.76, 1 Ge 2.77
Mg  0.6255  0.6255  0.6255  3 Si 2.76, 1 Ge 2.77
Mg  0.8754  0.8754  0.8754  1 Si 2.75, 3 Ge 2.77
Si  0.0000  0.0000  0.0000  8 Mg 2.75-2.76
Ge  0.5000  0.5000  0.5000  8 Mg 2.77

16.
Material: MgSiGe
Method: DFT, PBE
State: optimized geometry

Values from the calculation:
The energy relative to the elements, uncorrected comes out at 80 meV per atom. The crystal system is triclinic. The energy relative to the lowest polymorph listed for this composition comes out at 0.080 eV per atom.

Cell: 4.2934 5.5342 5.6467 Å, 114.54 92.62 101.27°
Closest atoms and distances in Å follow each position.
Positions (direct):
Mg  0.0000  0.0000  0.0000  3 Si 2.74-2.90, 2 Ge 2.78-3.00
Mg  0.3978  0.4726  0.8816  3 Si 2.73-3.00, 4 Ge 2.76-2.98
Si  0.4231  0.7930  0.6202  1 Si 2.46, 2 Ge 2.47-2.50, 1 Mg 2.73
Si  0.5388  0.3540  0.3335  1 Si 2.46, 2 Ge 2.48-2.49, 1 Mg 2.74
Ge  0.8300  0.1462  0.5623  2 Si 2.49-2.50, 1 Ge 2.66, 1 Mg 2.76
Ge  0.9784  0.6759  0.2687  2 Si 2.47-2.48, 1 Ge 2.66

17.
Material: MgSiGe
Method: DFT, PBE
State: optimized geometry

Values from the calculation:
The energy relative to the elements, uncorrected comes out at 244 meV per atom. The crystal system is orthorhombic. The energy relative to the lowest polymorph listed for this composition comes out at 0.245 eV per atom.

Cell: 13.4884 3.0384 3.0384 Å, 62.70 90.00 90.00°
Closest atoms and distances in Å follow each position.
Positions (direct):
Mg  0.1653  0.0000  0.0000  3 Si 2.83-2.86, 3 Ge 2.95-2.97, 6 Mg 3.04-3.16
Mg  0.8347  0.0000  0.0000  3 Si 2.83-2.86, 3 Ge 2.95-2.97, 6 Mg 3.04-3.16
Si  0.0000  0.3356  0.3356  6 Mg 2.83-2.86, 6 Si 3.04-3.16
Si  0.5000  0.8889  0.8889  4 Ge 2.68
Ge  0.3409  0.3382  0.3382  2 Si 2.68, 3 Mg 2.95-2.97
Ge  0.6591  0.3382  0.3382  2 Si 2.68, 3 Mg 2.95-2.97

18.
Material: MgSiGe3
Method: DFT, PBE
State: optimized geometry

Values from the calculation:
The energy relative to the elements, uncorrected comes out at 520 meV per atom. The crystal system is cubic. The energy relative to the lowest polymorph listed for this composition comes out at 0.000 eV per atom.

Cell: 4.8259 4.8259 4.8259 Å, 90.00 90.00 90.00°
Closest atoms and distances in Å follow each position.
Positions (direct):
Mg  0.0000  0.0000  0.0000  12 Ge 3.41
Si  0.5000  0.5000  0.5000  6 Ge 2.41
Ge  0.0000  0.5000  0.5000  2 Si 2.41
Ge  0.5000  0.0000  0.5000  2 Si 2.41
Ge  0.5000  0.5000  0.0000  2 Si 2.41

19.
Material: Mg3SiGe
Method: DFT, PBE
State: optimized geometry

Values from the calculation:
The energy relative to the elements, uncorrected comes out at 386 meV per atom. The crystal system is cubic. The energy relative to the lowest polymorph listed for this composition comes out at 0.083 eV per atom.

Cell: 4.9773 4.9773 4.9773 Å, 90.00 90.00 90.00°
Closest atoms and distances in Å follow each position.
Positions (direct):
Mg  0.0000  0.0000  0.5000  2 Ge 2.49
Mg  0.0000  0.5000  0.0000  2 Ge 2.49
Mg  0.5000  0.0000  0.0000  2 Ge 2.49
Si  0.5000  0.5000  0.5000  12 Mg 3.52
Ge  0.0000  0.0000  0.0000  6 Mg 2.49

20.
Material: MgSiGe
Method: DFT, PBE
State: optimized geometry

Values from the calculation:
The energy relative to the elements, uncorrected comes out at 51 meV per atom. The crystal system is trigonal. The energy relative to the lowest polymorph listed for this composition comes out at 0.052 eV per atom.

Cell: 3.7972 3.7972 4.8539 Å, 90.00 90.00 120.00°
Closest atoms and distances in Å follow each position.
Positions (direct):
Mg  0.0000  0.0000  0.0000  3 Si 2.86, 3 Ge 2.92
Si  0.6667  0.3333  0.3793  3 Ge 2.44
Ge  0.3333  0.6667  0.6021  3 Si 2.44